No. 1
Compound: KCo2B
Source: the Alexandria database
Functional: GGA-PBE
Structure: optimized geometry

## Properties
- DOS at the Fermi energy: 3.228 states/eV per atom
- DFT formation energy: 0.779 eV/atom

Lattice parameters (Å, degrees): 6.023 6.023 8.595 90.00 90.00 90.00
Space group I4_1/amd (No. 141, origin choice 2)
Asymmetric unit:
K: 0.000 0.250 0.375 [4 per cell]
Co: 0.000 0.000 0.000 [8 per cell]
B: 0.000 0.250 0.875 [4 per cell]

No. 2
Compound: AlTl3Pd
Source: the Alexandria database
Functional: GGA-PBE
Structure: optimized geometry

## Properties
- ΔE to the lowest computed polymorph: 0 meV per atom
- DOS at the Fermi energy: 1.002 states/eV per atom
- DFT formation energy: 0.271 eV/atom

Lattice parameters (Å, degrees): 5.331 5.331 5.331 90.00 90.00 90.00
Space group Pm-3m (No. 221)
Asymmetric unit:
Al: 0.000 0.000 0.000 [1 per cell]
Tl: 0.000 0.500 0.500 [3 per cell]
Pd: 0.500 0.500 0.500 [1 per cell]

No. 3
Compound: Ga2CuPb2
Source: the Alexandria database
Functional: GGA-PBE
Structure: optimized geometry

## Properties
- ΔE to the lowest computed polymorph: 383 meV per atom
- DOS at the Fermi energy: 0.335 states/eV per atom
- DFT formation energy: 0.492 eV/atom

Lattice parameters (Å, degrees): 4.781 4.781 11.718 90.00 90.00 90.00
Space group I4/mmm (No. 139)
Asymmetric unit:
Ga: 0.000 0.000 0.103 [4 per cell]
Cu: 0.000 0.000 0.500 [2 per cell]
Pb: 0.000 0.500 0.250 [4 per cell]

No. 4
Compound: Sn2HgRu2
Source: the Alexandria database
Functional: GGA-PBE
Structure: optimized geometry

## Properties
- ΔE to the lowest computed polymorph: 0 meV per atom
- DOS at the Fermi energy: 0.671 states/eV per atom
- DFT formation energy: -0.001 eV/atom

Lattice parameters (Å, degrees): 7.653 7.653 3.241 90.00 90.00 90.00
Space group P4/mbm (No. 127)
Asymmetric unit:
Sn: 0.150 0.350 0.000 [4 per cell]
Hg: 0.000 0.000 0.500 [2 per cell]
Ru: 0.147 0.647 0.500 [4 per cell]